[1]
# AcDy2Sn, relaxed, DFT PBE
data_AcDy2Sn
_cell_length_a 3.776
_cell_length_b 3.776
_cell_length_c 11.024
_cell_angle_alpha 80.14
_cell_angle_beta 80.14
_cell_angle_gamma 60.00
_space_group_name_H-M_alt 'P 1'
_space_group_IT_number 1
_space_group_name_Hall 'P 1'
loop_
_atom_site_label
_atom_site_fract_x
_atom_site_fract_y
_atom_site_fract_z
Ac1 0.500 0.500 0.500
Dy1 0.072 0.072 0.785
Dy2 0.262 0.262 0.214
Sn1 0.667 0.667 0.000
# N(E_F)   1.26 states/eV/atom
# Energy of formation   -0.67 eV per formula unit



[2]
# Ac3Dy2Sn3, relaxed, DFT PBE
data_Ac3Dy2Sn3
_cell_length_a 6.850
_cell_length_b 9.583
_cell_length_c 9.583
_cell_angle_alpha 120.00
_cell_angle_beta 90.00
_cell_angle_gamma 90.00
_space_group_name_H-M_alt 'P 1'
_space_group_IT_number 1
_space_group_name_Hall 'P 1'
loop_
_atom_site_label
_atom_site_fract_x
_atom_site_fract_y
_atom_site_fract_z
Ac1 0.750 0.247 0.000
Ac2 0.750 0.753 0.753
Ac3 0.750 0.000 0.247
Ac4 0.250 0.753 0.000
Ac5 0.250 0.247 0.247
Ac6 0.250 0.000 0.753
Dy1 0.000 0.333 0.667
Dy2 0.500 0.667 0.333
Dy3 0.000 0.667 0.333
Dy4 0.500 0.333 0.667
Sn1 0.750 0.599 0.000
Sn2 0.750 0.401 0.401
Sn3 0.750 0.000 0.599
Sn4 0.250 0.401 0.000
Sn5 0.250 0.599 0.599
Sn6 0.250 0.000 0.401
# N(E_F)   1.15 states/eV/atom
# Energy of formation   -5.07 eV per formula unit



[3]
# AcDy2Sn, relaxed, DFT PBE
data_AcDy2Sn
_cell_length_a 3.677
_cell_length_b 3.677
_cell_length_c 11.986
_cell_angle_alpha 81.18
_cell_angle_beta 81.18
_cell_angle_gamma 60.00
_space_group_name_H-M_alt 'P 1'
_space_group_IT_number 1
_space_group_name_Hall 'P 1'
loop_
_atom_site_label
_atom_site_fract_x
_atom_site_fract_y
_atom_site_fract_z
Ac1 0.000 0.000 0.000
Sn1 0.500 0.500 0.500
Dy1 0.101 0.101 0.697
Dy2 0.899 0.899 0.303
# N(E_F)   1.06 states/eV/atom
# Energy of formation   -0.04 eV per formula unit



[4]
# AcDy3Sn3, relaxed, DFT PBE
data_AcDy3Sn3
_cell_length_a 5.431
_cell_length_b 9.465
_cell_length_c 9.465
_cell_angle_alpha 120.00
_cell_angle_beta 90.00
_cell_angle_gamma 90.00
_space_group_name_H-M_alt 'P 1'
_space_group_IT_number 1
_space_group_name_Hall 'P 1'
loop_
_atom_site_label
_atom_site_fract_x
_atom_site_fract_y
_atom_site_fract_z
Ac1 0.250 0.667 0.333
Ac2 0.750 0.333 0.667
Dy1 0.250 0.763 0.763
Dy2 0.250 0.237 0.000
Dy3 0.250 0.000 0.237
Dy4 0.750 0.237 0.237
Dy5 0.750 0.763 0.000
Dy6 0.750 0.000 0.763
Sn1 0.750 0.630 0.559
Sn2 0.750 0.441 0.071
Sn3 0.750 0.929 0.370
Sn4 0.250 0.370 0.441
Sn5 0.250 0.559 0.929
Sn6 0.250 0.071 0.630
# N(E_F)   0.96 states/eV/atom
# Energy of formation   -3.77 eV per formula unit